1.
CsRbCd2I6 after structural relaxation, computed with PBE.

The crystal system is monoclinic. The calculation puts the density of states at the Fermi level at 0.00 states/eV per cell. The calculation puts the energy relative to the elements, uncorrected at -93.8 kJ/mol of atoms. For the calculated density, the calculation gives 3.29 Mg/m³.

It has space group C2/c (No. 15), with a = 12.700 Å, b = 17.458 Å, c = 11.335 Å, α = 90.00°, β = 104.58° and γ = 90.00°. The asymmetric unit holds Cs at (0.000, 0.051, 0.250), Rb at (0.000, 0.455, 0.750), Cd at (0.176, 0.346, 0.448), I at (0.041, 0.374, 0.063), I at (0.207, 0.020, 0.576) and I at (0.225, 0.217, 0.311).

2.
KCd2Si after structural relaxation, computed with PBE.

The crystal system is orthorhombic. The calculation puts the density of states at the Fermi level at 3.06 states/eV per cell. The calculation puts the energy relative to the elements, uncorrected at 29.9 kJ/mol of atoms. For the calculated density, the calculation gives 4.55 Mg/m³.

It has space group Imm2 (No. 44), with a = 3.546 Å, b = 5.642 Å, c = 10.646 Å, α = 90.00°, β = 90.00° and γ = 90.00°. The asymmetric unit holds K at (0.000, 0.000, 0.000), Cd at (0.000, 0.000, 0.462), Cd at (0.000, 0.500, 0.203) and Si at (0.000, 0.500, 0.769).

3.
LiMoP3 after structural relaxation, computed with PBE.

The crystal system is cubic. The calculation puts the formation energy from the elements at 0.225 eV/atom. The calculation puts the density of states at the Fermi level at 3.34 states/eV per cell. The calculation puts the energy relative to the lowest polymorph listed for this composition at 0.000 eV per atom. For the calculated density, the calculation gives 3.08 Mg/m³.

It has space group Pm-3m (No. 221), with a = 4.727 Å, b = 4.727 Å, c = 4.727 Å, α = 90.00°, β = 90.00° and γ = 90.00°. The asymmetric unit holds Li at (0.000, 0.000, 0.000), Mo at (0.500, 0.500, 0.500) and P at (0.000, 0.500, 0.500).

4.
Sc2MnW after structural relaxation, computed with PBE.

The crystal system is trigonal. The calculation puts the formation energy from the elements at 0.369 eV/atom. The calculation puts the density of states at the Fermi level at 15.06 states/eV per cell. The calculation puts the energy relative to the lowest polymorph listed for this composition at 0.322 eV per atom. For the calculated density, the calculation gives 7.60 Mg/m³.

It has space group R-3m (No. 166, hexagonal axes), with a = 2.9713 Å, b = 2.9713 Å, c = 28.1935 Å, α = 90.00°, β = 90.00° and γ = 120.00°. The asymmetric unit holds Sc at (0.0000, 0.0000, 0.2471), Mn at (0.0000, 0.0000, 0.5000) and W at (0.0000, 0.0000, 0.0000).

- Among the records above, which one has the highest calculated density?
  Sc2MnW